[1]
Compound: Tc2POs
Source: Alexandria
Functional: GGA-PBEsol
Structure: relaxed

Structure (POSCAR):
```
Tc2POs
1.0
2.869 0.000 0.000
0.000 4.284 0.000
-1.434 -2.142 4.289
Tc Os P
2 1 1
direct
0.717 0.717 0.435
0.283 0.283 0.565
0.500 0.000 0.000
0.000 0.500 0.000
```

Output
Its crystal system is orthorhombic. For the density of states at the Fermi level, the calculation gives 3.0 states/eV/cell. Its total energy is -41.3 eV for the cell shown.

[2]
Compound: Tc2POs
Source: Alexandria
Functional: GGA-PBEsol
Structure: relaxed

Structure (POSCAR):
```
Tc2POs
1.0
2.770 0.000 0.000
1.385 2.398 0.000
1.385 0.799 8.078
Tc Os P
2 1 1
direct
0.749 0.749 0.753
0.994 0.994 0.017
0.507 0.507 0.480
0.250 0.250 0.251
```

Output
Its crystal system is trigonal. For the density of states at the Fermi level, the calculation gives 2.4 states/eV/cell. Its total energy is -40.8 eV for the cell shown.

[3]
Compound: TcPOs
Source: Alexandria
Functional: GGA-PBEsol
Structure: relaxed

Structure (POSCAR):
```
TcPOs
1.0
2.802 0.002 0.000
-1.365 2.448 0.000
-0.719 -1.225 5.995
P Tc Os
1 1 1
direct
0.333 0.333 0.665
0.681 0.681 0.363
0.986 0.986 0.972
```

Output
Its crystal system is orthorhombic. For the density of states at the Fermi level, the calculation gives 2.6 states/eV/cell. Its total energy is -28.3 eV for the cell shown.

[4]
Compound: Tc2POs
Source: Alexandria
Functional: GGA-PBEsol
Structure: relaxed

Structure (POSCAR):
```
Tc2POs
1.0
-3.281 -1.131 -0.869
-0.546 -1.020 3.386
-1.556 3.825 0.901
Tc P Os
2 1 1
direct
0.000 0.500 0.000
0.500 0.000 0.000
0.000 0.000 0.500
0.500 0.500 0.500
```

Output
Its crystal system is tetragonal. For the density of states at the Fermi level, the calculation gives 5.4 states/eV/cell. Its total energy is -39.2 eV for the cell shown.

[5]
Compound: TePOs2
Source: Alexandria
Functional: GGA-PBEsol
Structure: relaxed

Structure (POSCAR):
```
TePOs2
1.0
-2.644 -1.133 -0.139
2.142 -1.492 1.265
-2.174 4.039 8.443
Os P Te
2 1 1
direct
0.000 0.000 0.020
0.500 0.000 0.255
0.000 0.000 0.446
0.500 0.000 0.779
```

Output
Its crystal system is orthorhombic. The formation energy without anion corrections comes out at 0.769 eV/atom. For the density of states at the Fermi level, the calculation gives 3.4 states/eV/cell.

[6]
Compound: TePOs
Source: Alexandria
Functional: GGA-PBEsol
Structure: relaxed

Structure (POSCAR):
```
TePOs
1.0
2.986 0.000 0.000
0.000 2.986 0.000
-1.493 -1.493 5.972
Te P Os
1 1 1
direct
0.652 0.652 0.303
0.373 0.373 0.746
0.975 0.975 0.951
```

Output
Its crystal system is tetragonal. The formation energy without anion corrections comes out at 0.220 eV/atom. For the density of states at the Fermi level, the calculation gives 0.9 states/eV/cell.

[7]
Compound: TiPOs3
Source: Alexandria
Functional: GGA-PBEsol
Structure: relaxed

Structure (POSCAR):
```
TiPOs3
1.0
4.293 0.000 0.000
0.000 4.293 0.000
0.000 0.000 4.293
Os P Ti
3 1 1
direct
0.500 0.000 0.000
0.000 0.000 0.500
0.000 0.500 0.000
0.000 0.000 0.000
0.500 0.500 0.500
```

Output
Its crystal system is cubic. For the density of states at the Fermi level, the calculation gives 3.5 states/eV/cell. Its total energy is -47.9 eV for the cell shown.

[8]
Compound: TiPOs
Source: Alexandria
Functional: GGA-PBEsol
Structure: relaxed

Structure (POSCAR):
```
TiPOs
1.0
-3.471 1.036 0.614
-1.922 -5.811 -1.057
1.544 1.762 5.752
P Os Ti
3 3 3
direct
0.000 0.667 0.333
0.000 0.333 0.667
0.500 0.000 0.000
0.000 0.252 0.000
0.000 0.748 0.748
0.000 0.000 0.252
0.500 0.416 0.416
0.500 0.000 0.584
0.500 0.584 0.000
```

Output
Its crystal system is hexagonal. For the density of states at the Fermi level, the calculation gives 7.6 states/eV/cell. Its total energy is -87.0 eV for the cell shown.

[9]
Compound: TlP2Os
Source: Alexandria
Functional: GGA-PBEsol
Structure: relaxed

Structure (POSCAR):
```
TlP2Os
1.0
3.205 0.057 0.078
-0.083 4.598 0.028
-0.083 -1.428 4.371
P Os Tl
2 1 1
direct
0.000 0.500 0.000
0.000 0.000 0.500
0.500 0.000 0.000
0.500 0.500 0.500
```

Output
Its crystal system is orthorhombic. The energy above the most stable polymorph in this dataset comes out at 760 meV/atom. For the density of states at the Fermi level, the calculation gives 2.2 states/eV/cell.

[10]
Compound: TlP2Os
Source: Alexandria
Functional: GGA-PBEsol
Structure: relaxed

Structure (POSCAR):
```
TlP2Os
1.0
-2.076 2.148 -1.197
-3.334 -2.781 0.792
-0.526 1.821 4.181
P Tl Os
2 1 1
direct
0.000 0.000 0.000
0.500 0.500 0.000
0.500 0.000 0.500
0.000 0.500 0.500
```

Output
Its crystal system is orthorhombic. The energy above the most stable polymorph in this dataset comes out at 890 meV/atom. For the density of states at the Fermi level, the calculation gives 2.0 states/eV/cell.

[11]
Compound: TlP2Os
Source: Alexandria
Functional: GGA-PBEsol
Structure: relaxed

Structure (POSCAR):
```
TlP2Os
1.0
3.027 0.000 0.000
-1.513 4.097 0.008
0.000 -1.530 6.191
P Os Tl
2 1 1
direct
0.203 0.405 0.806
0.079 0.159 0.085
0.800 0.601 0.100
0.418 0.835 0.509
```

Output
Its crystal system is monoclinic. The energy above the most stable polymorph in this dataset comes out at 0 meV/atom. For the density of states at the Fermi level, the calculation gives 1.5 states/eV/cell.

[12]
Compound: TlP2Os
Source: Alexandria
Functional: GGA-PBEsol
Structure: relaxed

Structure (POSCAR):
```
TlP2Os
1.0
2.943 0.000 0.000
0.000 2.979 0.000
-1.472 -1.490 8.319
Os P Tl
1 2 1
direct
0.300 0.800 0.600
0.912 0.912 0.824
0.726 0.226 0.452
0.562 0.562 0.124
```

Output
Its crystal system is orthorhombic. The energy above the most stable polymorph in this dataset comes out at 8 meV/atom. For the density of states at the Fermi level, the calculation gives 1.7 states/eV/cell.

[13]
Compound: TlP2Os
Source: Alexandria
Functional: GGA-PBEsol
Structure: relaxed

Structure (POSCAR):
```
TlP2Os
1.0
3.469 0.000 0.000
0.000 3.781 0.051
0.000 -1.789 5.619
P Os Tl
2 1 1
direct
0.000 0.125 0.076
0.500 0.728 0.063
0.500 0.141 0.815
0.000 0.507 0.545
```

Output
Its crystal system is monoclinic. The energy above the most stable polymorph in this dataset comes out at 209 meV/atom. For the density of states at the Fermi level, the calculation gives 2.1 states/eV/cell.

[14]
Compound: TlPOs3
Source: Alexandria
Functional: GGA-PBEsol
Structure: relaxed

Structure (POSCAR):
```
TlPOs3
1.0
4.840 0.000 0.000
0.000 4.840 0.000
0.000 0.000 4.840
Os Tl P
3 1 1
direct
0.000 0.500 0.000
0.000 0.000 0.500
0.500 0.000 0.000
0.000 0.000 0.000
0.500 0.500 0.500
```

Output
Its crystal system is cubic. For the density of states at the Fermi level, the calculation gives 8.6 states/eV/cell. Its total energy is -26.7 eV for the cell shown.

[15]
Compound: YP2Os
Source: Alexandria
Functional: GGA-PBEsol
Structure: relaxed

Structure (POSCAR):
```
YP2Os
1.0
-0.750 -0.718 -4.332
-1.988 -3.760 -1.323
-4.159 0.120 -1.590
P Os Y
2 1 1
direct
0.250 0.250 0.250
0.750 0.750 0.750
0.000 0.000 0.000
0.500 0.500 0.500
```

Output
Its crystal system is cubic. The energy above the most stable polymorph in this dataset comes out at 350 meV/atom. For the density of states at the Fermi level, the calculation gives 5.0 states/eV/cell.